No. 1
This record from the Alexandria database describes an optimized crystal structure of NbTlCuTcTe. The functional is PBE-GGA.

Computed properties:
Formation energy without anion corrections = 0.24 eV/atom
Total magnetic moment = 0.00 μB/atom

a b c (Å): 3.4501 4.9565 6.7946
angles (deg): 101.85 89.87 110.41
Last column: nearest neighbours and their distance in Å.
Sites, in units of the cell vectors:
Cu: 0.1974 0.6198 0.1435  3 Tl 2.63-2.68, 2 Tc 2.66-2.67, 1 Te 2.67, 1 Nb 2.92
Nb: 0.0193 0.2631 0.7328  2 Tc 2.59-2.60, 1 Te 2.90
Te: 0.2732 0.7670 0.5460  1 Cu 2.67, 2 Tc 2.82, 3 Nb 2.90-2.94
Tc: 0.7304 0.6816 0.8566  2 Nb 2.59-2.60, 2 Cu 2.66-2.67, 2 Te 2.82
Tl: 0.4709 0.1685 0.0981  3 Cu 2.63-2.68

---

No. 2
This record from the Alexandria database describes an optimized crystal structure of Tb3Pr4Y5. The functional is PBE-GGA.

Computed properties:
Total magnetic moment = 0.00 μB/atom
Formation energy = 18 meV per atom

a b c (Å): 7.2254 8.8538 9.5763
angles (deg): 90.08 40.93 90.13
Last column: nearest neighbours and their distance in Å.
Sites, in units of the cell vectors:
Pr: 0.8320 0.1675 0.1683  5 Y 3.61-3.62, 4 Pr 3.61-3.65, 3 Tb 3.62-3.64
Y: 0.2537 0.4997 0.9986  6 Y 3.58-3.65, 3 Tb 3.59-3.62, 3 Pr 3.61-3.62
Y: 0.6675 0.8313 0.8328  3 Y 3.59-3.65, 4 Tb 3.60-3.65, 5 Pr 3.61-3.64
Y: 0.3325 0.1687 0.1672  3 Y 3.59-3.65, 4 Tb 3.60-3.65, 5 Pr 3.61-3.64
Y: 0.5000 0.5000 0.5000  4 Pr 3.59-3.61, 4 Tb 3.61, 4 Y 3.62-3.63
Pr: 0.9177 0.8304 0.3343  4 Tb 3.59-3.66, 5 Y 3.59-3.64, 3 Pr 3.61-3.65
Y: 0.7463 0.5003 0.0014  6 Y 3.58-3.65, 3 Tb 3.59-3.62, 3 Pr 3.61-3.62
Tb: 0.0000 0.5000 0.5000  2 Tb 3.59, 2 Pr 3.59, 8 Y 3.60-3.62
Pr: 0.1680 0.8325 0.8317  5 Y 3.61-3.62, 4 Pr 3.61-3.65, 3 Tb 3.62-3.64
Tb: 0.4161 0.8304 0.3323  1 Tb 3.59, 5 Y 3.59-3.65, 6 Pr 3.59-3.66
Tb: 0.5839 0.1696 0.6677  1 Tb 3.59, 5 Y 3.59-3.65, 6 Pr 3.59-3.66
Pr: 0.0823 0.1696 0.6657  4 Tb 3.59-3.66, 5 Y 3.59-3.64, 3 Pr 3.61-3.65

---

No. 3
This record from the Alexandria database describes an optimized crystal structure of Ba3InS5. The functional is PBE-GGA.

Computed properties:
Formation energy without anion corrections = -1.46 eV/atom
Total magnetic moment = 0.11 μB/atom

a b c (Å): 8.4829 8.4829 9.4526
angles (deg): 116.66 116.66 90.00
Last column: nearest neighbours and their distance in Å.
Sites, in units of the cell vectors:
S: 0.4852 0.3005 0.2857  1 In 2.45
Ba: 0.3432 0.8432 0.0000  8 S 3.05-3.39
In: 0.7500 0.2500 0.5000  4 S 2.45
Ba: 0.6568 0.1568 0.0000  8 S 3.05-3.39
Ba: 0.8432 0.6568 0.0000  8 S 3.05-3.39
S: 0.0000 0.0000 0.0000  4 Ba 3.20
S: 0.9852 0.4852 0.2857  1 In 2.45
In: 0.2500 0.7500 0.5000  4 S 2.45
Ba: 0.1568 0.3432 0.0000  8 S 3.05-3.39
S: 0.5148 0.6995 0.7143  1 In 2.45
S: 0.1995 0.0148 0.7143  1 In 2.45
S: 0.6995 0.1995 0.7143  1 In 2.45
S: 0.8005 0.9852 0.2857  1 In 2.45
S: 0.0148 0.5148 0.7143  1 In 2.45
S: 0.5000 0.5000 0.0000  4 Ba 3.20
S: 0.3005 0.8005 0.2857  1 In 2.45
Ba: 0.7500 0.7500 0.5000  10 S 3.56-3.65
Ba: 0.2500 0.2500 0.5000  10 S 3.56-3.65

---

Number 1: total DFT energy (no corrections) -5.77 eV/atom. Number 2: total DFT energy (no corrections) -5.43 eV/atom. Number 3: total DFT energy (no corrections) -4.70 eV/atom.